(1)
Compound: Pm2Sm2Mg
Source: the Alexandria database
Functional: PBE
Structure: relaxed

Unit cell a=5.143 b=5.143 c=26.469 alpha=90.00 beta=90.00 gamma=90.00
Space group I4_1/amd (No. 141, origin choice 2)
One atom of each set of equivalent atoms:
Pm (0.000, 0.250, 0.045) x8
Sm (0.000, 0.250, 0.200) x8
Mg (0.000, 0.250, 0.875) x4

relative energy among the computed polymorphs: 208.3 meV per atom
total moment: 0.00 Bohr magnetons per cell


(2)
Compound: Pm3Dy2Er6Tm
Source: the Alexandria database
Functional: PBE
Structure: relaxed

Unit cell a=6.148 b=10.642 c=11.717 alpha=90.00 beta=100.04 gamma=90.00
Space group C2/m (No. 12)
One atom of each set of equivalent atoms:
Pm (0.000, 0.000, 0.000) x2
Pm (0.000, 0.333, 0.000) x4
Dy (0.000, 0.167, 0.500) x4
Er (0.249, 0.000, 0.747) x4
Er (0.249, 0.333, 0.747) x8
Tm (0.000, 0.500, 0.500) x2

total moment: 0.00 Bohr magnetons per cell
E: -4.59 eV per atom


(3)
Compound: Tb3Sm3ErSe8
Source: the Alexandria database
Functional: PBE
Structure: relaxed

Unit cell a=8.2194 b=8.2194 c=20.2335 alpha=90.00 beta=90.00 gamma=120.00
Space group R-3m (No. 166, hexagonal axes)
One atom of each set of equivalent atoms:
Tb (0.0000, 0.5000, 0.0000) x9
Sm (0.0000, 0.5000, 0.5000) x9
Er (0.0000, 0.0000, 0.0000) x3
Se (0.0000, 0.0000, 0.2522) x6
Se (0.0015, 0.5007, 0.2519) x18

E_form (uncorrected): -1.854 eV/atom
total moment: 0.00 Bohr magnetons per cell


(4)
Compound: VTcSbTe2
Source: the Alexandria database
Functional: PBE
Structure: relaxed

Unit cell a=5.171 b=5.171 c=5.188 alpha=90.00 beta=90.00 gamma=90.00
Space group P4/mmm (No. 123)
One atom of each set of equivalent atoms:
V (0.000, 0.000, 0.000) x1
Tc (0.500, 0.500, 0.500) x1
Sb (0.000, 0.000, 0.500) x1
Te (0.000, 0.500, 0.000) x2

E_form (uncorrected): 0.978 eV/atom
relative energy among the computed polymorphs: 0.0 meV per atom
total moment: 5.04 Bohr magnetons per cell


(5)
Compound: ScBS3
Source: the Alexandria database
Functional: PBE
Structure: relaxed

Unit cell a=6.853 b=3.421 c=8.389 alpha=90.00 beta=90.00 gamma=90.00
Space group P2_1/m (No. 11)
One atom of each set of equivalent atoms:
Sc (0.214, 0.250, 0.062) x2
B (0.462, 0.250, 0.620) x2
S (0.001, 0.250, 0.819) x2
S (0.329, 0.750, 0.537) x2
S (0.491, 0.750, 0.163) x2

E_form (uncorrected): -1.004 eV/atom
relative energy among the computed polymorphs: 0.0 meV per atom
total moment: 0.00 Bohr magnetons per cell


(6)
Compound: NbInCoS3
Source: the Alexandria database
Functional: PBE
Structure: relaxed

Unit cell a=8.484 b=3.464 c=9.046 alpha=90.00 beta=113.62 gamma=90.00
Space group P2_1/m (No. 11)
One atom of each set of equivalent atoms:
Nb (0.201, 0.250, 0.170) x2
In (0.261, 0.750, 0.756) x2
Co (0.415, 0.750, 0.390) x2
S (0.033, 0.250, 0.857) x2
S (0.297, 0.250, 0.462) x2
S (0.392, 0.750, 0.134) x2

E_form (uncorrected): -0.675 eV/atom
total moment: 1.57 Bohr magnetons per cell


(7)
Compound: CeFeCu
Source: the Alexandria database
Functional: PBE
Structure: relaxed

Unit cell a=11.795 b=4.099 c=4.555 alpha=90.00 beta=108.04 gamma=90.00
Space group C2/m (No. 12)
One atom of each set of equivalent atoms:
Ce (0.128, 0.000, 0.362) x4
Fe (0.204, 0.000, 0.847) x4
Cu (0.077, 0.500, 0.831) x4

total moment: 0.00 Bohr magnetons per cell
E: -6.29 eV per atom


(8)
Compound: SrLiCuGe2
Source: the Alexandria database
Functional: PBE
Structure: relaxed

Unit cell a=4.337 b=4.337 c=10.483 alpha=90.00 beta=90.00 gamma=90.00
Space group I-4m2 (No. 119)
One atom of each set of equivalent atoms:
Sr (0.000, 0.000, 0.000) x2
Li (0.000, 0.500, 0.250) x2
Cu (0.000, 0.500, 0.750) x2
Ge (0.000, 0.000, 0.380) x4

total moment: 0.00 Bohr magnetons per cell
E: -3.80 eV per atom


(9)
Compound: SrBeIr2
Source: the Alexandria database
Functional: PBE
Structure: relaxed

Unit cell a=3.1350 b=3.1350 c=23.3194 alpha=90.00 beta=90.00 gamma=120.00
Space group R-3m (No. 166, hexagonal axes)
One atom of each set of equivalent atoms:
Sr (0.0000, 0.0000, 0.0000) x3
Be (0.0000, 0.0000, 0.5000) x3
Ir (0.0000, 0.0000, 0.2274) x6

total moment: 0.00 Bohr magnetons per cell
E: -5.58 eV per atom


(10)
Compound: Li2BeNi
Source: the Alexandria database
Functional: PBE
Structure: relaxed

Unit cell a=3.257 b=3.257 c=4.138 alpha=90.00 beta=90.00 gamma=90.00
Space group P4/mmm (No. 123)
One atom of each set of equivalent atoms:
Li (0.000, 0.500, 0.000) x2
Be (0.000, 0.000, 0.500) x1
Ni (0.500, 0.500, 0.500) x1

total moment: 0.00 Bohr magnetons per cell
E: -3.29 eV per atom


(11)
Compound: SmSi3Pd5
Source: the Alexandria database
Functional: PBE
Structure: relaxed

Unit cell a=3.914 b=12.517 c=12.638 alpha=90.00 beta=90.00 gamma=90.00
Space group Cmcm (No. 63)
One atom of each set of equivalent atoms:
Sm (0.000, 0.149, 0.250) x4
Si (0.000, 0.119, 0.750) x4
Si (0.000, 0.386, 0.541) x8
Pd (0.000, 0.000, 0.000) x4
Pd (0.000, 0.207, 0.576) x8
Pd (0.000, 0.447, 0.145) x8

E_form (uncorrected): -0.731 eV/atom
total moment: 0.00 Bohr magnetons per cell


(12)
Compound: VCu3Te2Se2
Source: the Alexandria database
Functional: PBE
Structure: relaxed

Unit cell a=8.047 b=8.332 c=5.783 alpha=90.00 beta=90.00 gamma=90.00
Space group Cmm2 (No. 35)
One atom of each set of equivalent atoms:
V (0.000, 0.000, 0.000) x2
Cu (0.000, 0.000, 0.510) x2
Cu (0.250, 0.250, 0.995) x4
Te (0.238, 0.500, 0.257) x4
Se (0.000, 0.232, 0.764) x4

E_form (uncorrected): -0.367 eV/atom
total moment: 0.00 Bohr magnetons per cell